[1]
## LiPrMg2Ag2 (PBE)

Data for a relaxed structure of LiPrMg2Ag2.

Output
Calculated formation energy   0.073 eV/atom
V   25.85 A^3/atom
E_tot   -2.525 eV per atom

Cell: 5.314 5.314 6.655 Å, 113.53 113.53 90.00°
Fractional positions:
Pr 0.500 0.500 0.000
Ag 0.778 0.778 0.557
Ag 0.222 0.222 0.443
Li 0.000 0.000 0.000
Mg 0.250 0.750 0.500
Mg 0.750 0.250 0.500

---

[2]
## Nd4HoSe7 (PBE)

Data for a relaxed structure of Nd4HoSe7.

Output
V   28.19 A^3/atom
E_tot   -5.884 eV per atom

Cell: 4.085 7.181 12.451 Å, 104.30 90.00 106.52°
Fractional positions:
Se 0.743 0.487 0.356
Se 0.961 0.922 0.216
Se 0.037 0.074 0.778
Se 0.267 0.534 0.648
Se 0.338 0.676 0.949
Se 0.661 0.321 0.050
Se 0.495 0.990 0.503
Nd 0.999 0.999 0.997
Nd 0.699 0.398 0.808
Nd 0.301 0.602 0.192
Nd 0.112 0.224 0.425
Ho 0.887 0.774 0.577

---

Number 1: ρ 4.41 g/cm3. Number 2: ρ 6.35 g/cm3.